Here is a crystal of NiMoPd relaxed with PBEsol from Alexandria. Energies are from SCAN.

```
data_NiMoPd
_chemical_formula_sum 'Ni2 Mo2 Pd2'
_cell_length_a 2.671
_cell_length_b 3.734
_cell_length_c 7.973
_cell_angle_alpha 90.00
_cell_angle_beta 90.00
_cell_angle_gamma 90.00
_space_group_name_H-M_alt 'I m m 2'
_space_group_IT_number 44
_space_group_name_Hall 'I 2 -2'
loop_
_atom_site_label
_atom_site_fract_x
_atom_site_fract_y
_atom_site_fract_z
Ni1 0.000 0.000 0.000
Mo1 0.000 0.000 0.657
Pd1 0.000 0.000 0.332
```

Computed properties:
Theoretical density, g/cm3: 10.90
ΔH_f (0 K), eV per atom: -0.020
Uncorrected energy, eV per cell: -167.79

Here is a crystal of TcRh2 relaxed with PBEsol from Alexandria. Energies are from SCAN.

```
data_TcRh2
_chemical_formula_sum 'Tc2 Rh4'
_cell_length_a 2.679
_cell_length_b 2.679
_cell_length_c 11.347
_cell_angle_alpha 90.00
_cell_angle_beta 90.00
_cell_angle_gamma 90.00
_space_group_name_H-M_alt 'I 4/m m m'
_space_group_IT_number 139
_space_group_name_Hall '-I 4 2'
loop_
_atom_site_label
_atom_site_fract_x
_atom_site_fract_y
_atom_site_fract_z
Tc1 0.000 0.000 0.000
Rh1 0.000 0.000 0.337
```

Computed properties:
Theoretical density, g/cm3: 12.39
ΔH_f (0 K), eV per atom: -0.131
E above lowest polymorph, eV/atom: 0.0517
Uncorrected energy, eV per cell: -205.99

Here is a crystal of As3P relaxed with PBEsol from Alexandria. Energies are from SCAN.

```
data_As3P
_chemical_formula_sum 'As3 P1'
_cell_length_a 3.5073
_cell_length_b 3.5073
_cell_length_c 6.9726
_cell_angle_alpha 90.00
_cell_angle_beta 90.00
_cell_angle_gamma 120.00
_space_group_name_H-M_alt 'P -6 m 2'
_space_group_IT_number 187
_space_group_name_Hall 'P -6 2'
loop_
_atom_site_label
_atom_site_fract_x
_atom_site_fract_y
_atom_site_fract_z
As1 0.0000 0.0000 0.0000
As2 0.6667 0.3333 0.2609
P1 0.0000 0.0000 0.5000
```

Computed properties:
Theoretical density, g/cm3: 5.72
ΔH_f (0 K), eV per atom: 0.367
E above lowest polymorph, eV/atom: 0.3010
Uncorrected energy, eV per cell: -69.50

Here is a crystal of Ga3TcMo relaxed with PBEsol from Alexandria. Energies are from SCAN.

```
data_Ga3TcMo
_chemical_formula_sum 'Ga3 Tc1 Mo1'
_cell_length_a 4.728
_cell_length_b 4.728
_cell_length_c 4.728
_cell_angle_alpha 90.00
_cell_angle_beta 90.00
_cell_angle_gamma 90.00
_space_group_name_H-M_alt 'P m -3 m'
_space_group_IT_number 221
_space_group_name_Hall '-P 4 2 3'
loop_
_atom_site_label
_atom_site_fract_x
_atom_site_fract_y
_atom_site_fract_z
Ga1 0.000 0.000 0.500
Tc1 0.500 0.500 0.500
Mo1 0.000 0.000 0.000
```

Computed properties:
Theoretical density, g/cm3: 6.33
ΔH_f (0 K), eV per atom: 1.034
Uncorrected energy, eV per cell: -113.81

Here is a crystal of Pd2PbS relaxed with PBEsol from Alexandria. Energies are from SCAN.

```
data_Pd2PbS
_chemical_formula_sum 'Pd8 Pb4 S4'
_cell_length_a 6.492
_cell_length_b 6.492
_cell_length_c 6.492
_cell_angle_alpha 90.00
_cell_angle_beta 90.00
_cell_angle_gamma 90.00
_space_group_name_H-M_alt 'F m -3 m'
_space_group_IT_number 225
_space_group_name_Hall '-F 4 2 3'
loop_
_atom_site_label
_atom_site_fract_x
_atom_site_fract_y
_atom_site_fract_z
Pd1 0.250 0.250 0.250
Pb1 0.000 0.000 0.000
S1 0.000 0.000 0.500
```

Computed properties:
Theoretical density, g/cm3: 10.98
Energy relative to the elements, uncorrected, meV/atom: -31
Uncorrected energy, eV per cell: -604.32

Here is a crystal of BaBeAs3 relaxed with PBEsol from Alexandria. Energies are from SCAN.

```
data_BaBeAs3
_chemical_formula_sum 'Ba1 Be1 As3'
_cell_length_a 4.741
_cell_length_b 4.741
_cell_length_c 4.741
_cell_angle_alpha 90.00
_cell_angle_beta 90.00
_cell_angle_gamma 90.00
_space_group_name_H-M_alt 'P m -3 m'
_space_group_IT_number 221
_space_group_name_Hall '-P 4 2 3'
loop_
_atom_site_label
_atom_site_fract_x
_atom_site_fract_y
_atom_site_fract_z
Ba1 0.000 0.000 0.000
Be1 0.500 0.500 0.500
As1 0.000 0.500 0.500
```

Computed properties:
Theoretical density, g/cm3: 5.78
ΔH_f (0 K), eV per atom: -0.191
Uncorrected energy, eV per cell: -105.43

Here is a crystal of NiMoSe2Br relaxed with PBEsol from Alexandria. Energies are from SCAN.

```
data_NiMoSe2Br
_chemical_formula_sum 'Ni1 Mo1 Se2 Br1'
_cell_length_a 4.767
_cell_length_b 4.767
_cell_length_c 5.195
_cell_angle_alpha 90.00
_cell_angle_beta 90.00
_cell_angle_gamma 90.00
_space_group_name_H-M_alt 'P 4/m m m'
_space_group_IT_number 123
_space_group_name_Hall '-P 4 2'
loop_
_atom_site_label
_atom_site_fract_x
_atom_site_fract_y
_atom_site_fract_z
Ni1 0.000 0.000 0.000
Mo1 0.500 0.500 0.500
Se1 0.000 0.500 0.500
Br1 0.500 0.500 0.000
```

Computed properties:
Theoretical density, g/cm3: 5.52
Energy relative to the elements, uncorrected, meV/atom: 625
Uncorrected energy, eV per cell: -107.55

Here is a crystal of Li2MnAsH relaxed with PBEsol from Alexandria. Energies are from SCAN.

```
data_Li2MnAsH
_chemical_formula_sum 'Li2 Mn1 As1 H1'
_cell_length_a 3.741
_cell_length_b 3.741
_cell_length_c 3.937
_cell_angle_alpha 90.00
_cell_angle_beta 90.00
_cell_angle_gamma 90.00
_space_group_name_H-M_alt 'P 4/m m m'
_space_group_IT_number 123
_space_group_name_Hall '-P 4 2'
loop_
_atom_site_label
_atom_site_fract_x
_atom_site_fract_y
_atom_site_fract_z
Li1 0.000 0.500 0.000
Mn1 0.000 0.000 0.500
As1 0.500 0.500 0.500
H1 0.000 0.000 0.000
```

Computed properties:
Theoretical density, g/cm3: 4.36
Uncorrected energy, eV per cell: -49.17

Here is a crystal of NaZrN2O relaxed with PBEsol from Alexandria. Energies are from SCAN.

```
data_NaZrN2O
_chemical_formula_sum 'Na1 Zr1 N2 O1'
_cell_length_a 3.878
_cell_length_b 3.878
_cell_length_c 3.770
_cell_angle_alpha 90.00
_cell_angle_beta 90.00
_cell_angle_gamma 90.00
_space_group_name_H-M_alt 'P 4/m m m'
_space_group_IT_number 123
_space_group_name_Hall '-P 4 2'
loop_
_atom_site_label
_atom_site_fract_x
_atom_site_fract_y
_atom_site_fract_z
Na1 0.000 0.000 0.000
Zr1 0.500 0.500 0.500
N1 0.000 0.500 0.000
O1 0.000 0.000 0.500
```

Computed properties:
Theoretical density, g/cm3: 4.63
Energy relative to the elements, uncorrected, meV/atom: 569
Uncorrected energy, eV per cell: -56.88

Here is a crystal of BePtSe relaxed with PBEsol from Alexandria. Energies are from SCAN.

```
data_BePtSe
_chemical_formula_sum 'Be1 Pt1 Se1'
_cell_length_a 2.8706
_cell_length_b 2.8706
_cell_length_c 6.0788
_cell_angle_alpha 90.00
_cell_angle_beta 90.00
_cell_angle_gamma 120.00
_space_group_name_H-M_alt 'P 3 m 1'
_space_group_IT_number 156
_space_group_name_Hall 'P 3 -2"'
loop_
_atom_site_label
_atom_site_fract_x
_atom_site_fract_y
_atom_site_fract_z
Be1 0.0000 0.0000 0.0000
Pt1 0.3333 0.6667 0.7381
Se1 0.6667 0.3333 0.2954
```

Computed properties:
Theoretical density, g/cm3: 10.83
Energy relative to the elements, uncorrected, meV/atom: -83
Uncorrected energy, eV per cell: -94.88